First-principles (GGA-PBE) data for ErPaNb after structural relaxation, as listed in Alexandria via LeMat-Bulk.

a b c (Å): 3.5392 3.5392 6.2194
angles (deg): 106.53 106.53 90.00
Closest atoms and distances in Å follow each position.
Positions (direct):
Er1 0.0035 0.0035 0.0071  4 Nb 3.24, 5 Pa 3.32-3.51, 4 Er 3.54
Nb1 0.6844 0.6844 0.3687  4 Pa 2.89, 4 Er 3.24
Pa1 0.3121 0.3121 0.6242  4 Nb 2.89

Properties
- Magnetization: 0.00 Bohr magnetons per cell
- Crystal system: tetragonal
- Formation energy: 0.1982 eV/atom
- VASP energy: -7.84 eV/atom
- Distance to the lowest polymorph of the same formula: 0.000 eV per atom

=====

First-principles (GGA-PBE) data for ErPaNb4 after structural relaxation, as listed in Alexandria via LeMat-Bulk.

a b c (Å): 5.6725 5.6725 5.6725
angles (deg): 60.00 60.00 60.00
Closest atoms and distances in Å follow each position.
Positions (direct):
Nb1 0.6245 0.1266 0.6245  6 Nb 2.82-2.85
Nb2 0.6245 0.6245 0.1266  6 Nb 2.82-2.85
Nb3 0.6245 0.6245 0.6245  6 Nb 2.82-2.85
Nb4 0.1266 0.6245 0.6245  6 Nb 2.82-2.85
Er1 0.0000 0.0000 0.0000  12 Nb 3.33, 4 Pa 3.47
Pa1 0.2500 0.2500 0.2500  12 Nb 3.32, 4 Er 3.47

Properties
- Magnetization: 0.00 Bohr magnetons per cell
- Crystal system: cubic
- Formation energy: 0.1383 eV/atom
- VASP energy: -8.92 eV/atom